Entry 1:
# AlAgBr2N, relaxed, DFT GGA-PBE
data_AlAgBr2N
_cell_length_a 5.7082
_cell_length_b 5.7082
_cell_length_c 3.4545
_cell_angle_alpha 90.00
_cell_angle_beta 90.00
_cell_angle_gamma 90.00
_space_group_name_H-M_alt 'P 4/m m m'
_space_group_IT_number 123
_space_group_name_Hall '-P 4 2'
loop_
_atom_site_label
_atom_site_fract_x
_atom_site_fract_y
_atom_site_fract_z
_atom_site_occupancy
Al1 0.0000 0.0000 0.0000 1
Ag1 0.5000 0.5000 0.0000 1
Br1 0.0000 0.5000 0.5000 1
N1 0.0000 0.0000 0.5000 1
# total DFT energy (no corrections)	-17.03	eV/cell
# E_form (uncorrected)	247	meV per atom

***

Entry 2:
# MoSeBr2, relaxed, DFT GGA-PBE
data_MoSeBr2
_cell_length_a 3.0959
_cell_length_b 3.0959
_cell_length_c 9.2803
_cell_angle_alpha 90.00
_cell_angle_beta 90.00
_cell_angle_gamma 90.00
_space_group_name_H-M_alt 'P 4/m m m'
_space_group_IT_number 123
_space_group_name_Hall '-P 4 2'
loop_
_atom_site_label
_atom_site_fract_x
_atom_site_fract_y
_atom_site_fract_z
_atom_site_occupancy
Mo1 0.0000 0.0000 0.0000 1
Se1 0.0000 0.0000 0.5000 1
Br1 0.5000 0.5000 0.1738 1
# total DFT energy (no corrections)	-16.31	eV/cell
# E_form (uncorrected)	338	meV per atom
# E above lowest polymorph	669	meV per atom